The following is a GGA-PBE calculation of a relaxed K3Na4Pb2 crystal, from Alexandria.

Lattice parameters (Å, degrees): 9.924 5.736 11.451 90.00 90.04 90.00
Space group C2/m (No. 12)
Unique sites:
K 0.000 0.000 0.000 (multiplicity 2)
K 0.166 0.500 0.418 (multiplicity 4)
Na 0.001 0.000 0.709 (multiplicity 4)
Na 0.166 0.500 0.105 (multiplicity 4)
Pb 0.167 0.500 0.777 (multiplicity 4)

Final energy (eV/atom): -1.870
ΔH_f (0 K) (eV per atom): -0.0938
N(E_F) (states/eV/cell): 12.7
Total moment (μB per atom): 0.000